Pm3Ho5Cd2 | Alexandria via LeMat-Bulk | PBE-GGA | optimized geometry; DOS at the Fermi energy = 25.17 states/eV/cell; energy of formation = 0.14 eV per atom; E_tot = -0.1381 Ha/atom; calculated volume = 32.15 Å³/atom
1.0
-3.5180 -5.6196 -0.3596
5.8604 -7.8198 3.5731
-5.8845 -0.7855 8.5449
Cd Pm Ho
4 6 10
direct
0.1367 0.7269 0.9996 Cd
0.6367 0.9996 0.7269 Cd
0.8633 0.2731 0.0004 Cd
0.3633 0.0004 0.2731 Cd
0.2500 0.0000 0.0000 Pm
0.7500 0.0000 0.0000 Pm
0.1413 0.0837 0.6337 Pm
0.8587 0.9163 0.3663 Pm
0.6413 0.6337 0.0837 Pm
0.3587 0.3663 0.9163 Pm
0.4021 0.7693 0.4264 Ho
0.7500 0.5000 0.5000 Ho
0.4887 0.2613 0.2613 Ho
0.0979 0.5736 0.2307 Ho
0.9887 0.2613 0.2613 Ho
0.2500 0.5000 0.5000 Ho
0.5979 0.2307 0.5736 Ho
0.9021 0.4264 0.7693 Ho
0.5113 0.7387 0.7387 Ho
0.0113 0.7387 0.7387 Ho

Pm3Ho4Cd4 | Alexandria via LeMat-Bulk | PBE-GGA | optimized geometry; DOS at the Fermi energy = 10.83 states/eV/cell; energy of formation = -0.11 eV per atom; E_tot = -0.1251 Ha/atom; calculated volume = 29.60 Å³/atom
1.0
5.3174 0.0000 0.0000
0.0000 7.2170 0.0000
-2.6587 -3.6085 8.4843
Cd Pm Ho
4 3 4
direct
0.1831 0.6831 0.3662 Cd
0.5000 0.7975 0.0000 Cd
0.5000 0.2025 0.0000 Cd
0.8169 0.3169 0.6338 Cd
0.8939 0.8939 0.7879 Pm
0.1061 0.1061 0.2121 Pm
0.0000 0.5000 0.0000 Pm
0.3194 0.5524 0.6387 Ho
0.6806 0.9137 0.3613 Ho
0.3194 0.0863 0.6387 Ho
0.6806 0.4476 0.3613 Ho

Pm3Ho12Cd | Alexandria via LeMat-Bulk | PBE-GGA | optimized geometry; DOS at the Fermi energy = 19.54 states/eV/cell; energy of formation = 0.00 eV per atom; E_tot = -0.1611 Ha/atom; calculated volume = 30.91 Å³/atom
1.0
-2.5223 -3.7160 -2.1228
4.2194 -1.7477 -1.9541
2.8849 -11.2792 16.3168
Ho Pm Cd
12 3 1
direct
0.5000 0.0000 0.1201 Ho
0.5000 0.5000 0.0000 Ho
0.0000 0.5000 0.1201 Ho
0.5000 0.0000 0.8799 Ho
0.5000 0.5000 0.2432 Ho
0.0000 0.5000 0.8799 Ho
0.5000 0.0000 0.6271 Ho
0.5000 0.5000 0.7568 Ho
0.0000 0.5000 0.3729 Ho
0.5000 0.5000 0.5000 Ho
0.0000 0.5000 0.6271 Ho
0.5000 0.0000 0.3729 Ho
0.0000 0.0000 0.2474 Pm
0.0000 0.0000 0.7526 Pm
0.0000 0.0000 0.5000 Pm
0.0000 0.0000 0.0000 Cd

PmHoCd2 | Alexandria via LeMat-Bulk | PBE-GGA | optimized geometry; ΔE to the lowest computed polymorph = 176.6 meV/atom; DOS at the Fermi energy = 4.01 states/eV/cell; energy of formation = -0.14 eV per atom; E_tot = -0.1077 Ha/atom; calculated volume = 28.67 Å³/atom
1.0
-3.2515 -0.9645 1.2698
-0.9401 -3.4958 0.1015
2.4626 -2.2546 9.7575
Pm Ho Cd
1 1 2
direct
0.0000 0.0000 0.0000 Pm
0.5000 0.5000 0.5000 Ho
0.2475 0.2475 0.2575 Cd
0.7525 0.7525 0.7425 Cd

PmHoCd2 | Alexandria via LeMat-Bulk | PBE-GGA | optimized geometry; ΔE to the lowest computed polymorph = 0.0 meV/atom; DOS at the Fermi energy = 4.27 states/eV/cell; energy of formation = -0.32 eV per atom; E_tot = -0.1142 Ha/atom; calculated volume = 27.07 Å³/atom
1.0
5.3498 0.0000 0.0000
2.6749 4.6331 0.0000
2.6749 1.5444 4.3681
Cd Ho Pm
2 1 1
direct
0.2500 0.2500 0.2500 Cd
0.7500 0.7500 0.7500 Cd
0.0000 0.0000 0.0000 Ho
0.5000 0.5000 0.5000 Pm

Pm3Ho2Cd2 | Alexandria via LeMat-Bulk | PBE-GGA | optimized geometry; ΔE to the lowest computed polymorph = 0.0 meV/atom; DOS at the Fermi energy = 7.26 states/eV/cell; energy of formation = -0.15 eV per atom; E_tot = -0.1381 Ha/atom; calculated volume = 29.60 Å³/atom
1.0
5.4550 0.0000 0.0000
-2.7275 4.7106 -0.2966
0.0000 -2.6402 8.2286
Ho Pm Cd
2 3 2
direct
0.0735 0.1470 0.7206 Ho
0.9265 0.8530 0.2794 Ho
0.5000 0.0000 0.0000 Pm
0.3418 0.6836 0.5256 Pm
0.6582 0.3164 0.4744 Pm
0.2106 0.4211 0.1319 Cd
0.7894 0.5789 0.8681 Cd

Pm6HoCd2 | Alexandria via LeMat-Bulk | PBE-GGA | optimized geometry; ΔE to the lowest computed polymorph = 66.0 meV/atom; DOS at the Fermi energy = 21.59 states/eV/cell; energy of formation = -0.07 eV per atom; E_tot = -0.1450 Ha/atom; calculated volume = 31.19 Å³/atom
1.0
6.1972 -0.2915 -0.2822
1.2684 9.5819 1.1808
1.2684 1.4907 9.5386
Pm Cd Ho
12 4 2
direct
0.1860 0.9674 0.2681 Pm
0.6860 0.2681 0.9674 Pm
0.0090 0.5713 0.3159 Pm
0.9910 0.4287 0.6841 Pm
0.6630 0.0957 0.3513 Pm
0.8140 0.0326 0.7319 Pm
0.3370 0.9043 0.6487 Pm
0.5090 0.3159 0.5713 Pm
0.1630 0.3513 0.0957 Pm
0.8370 0.6487 0.9043 Pm
0.4910 0.6841 0.4287 Pm
0.3140 0.7319 0.0326 Pm
0.4083 0.5420 0.7866 Cd
0.0917 0.2134 0.4580 Cd
0.9083 0.7866 0.5420 Cd
0.5917 0.4580 0.2134 Cd
0.2500 0.1013 0.8987 Ho
0.7500 0.8987 0.1013 Ho

Pm5HoCd6 | Alexandria via LeMat-Bulk | PBE-GGA | optimized geometry; DOS at the Fermi energy = 14.27 states/eV/cell; energy of formation = -0.32 eV per atom; E_tot = -0.1152 Ha/atom; calculated volume = 27.76 Å³/atom
1.0
5.0963 -0.0302 1.6984
0.0415 7.6831 0.0138
-0.0038 -0.0151 8.5067
Cd Pm Ho
6 5 1
direct
0.8362 0.7543 0.3276 Cd
0.5000 0.2447 0.0000 Cd
0.5000 0.7553 0.0000 Cd
0.1638 0.2457 0.6724 Cd
0.8362 0.2457 0.3276 Cd
0.1638 0.7543 0.6724 Cd
0.6660 0.0000 0.6680 Pm
0.0000 0.5000 0.0000 Pm
0.6685 0.5000 0.6630 Pm
0.3315 0.5000 0.3370 Pm
0.3340 0.0000 0.3320 Pm
0.0000 0.0000 0.0000 Ho